{"formula": "Li2Ca8Ru", "functional": "PBE", "state": "optimized geometry", "delta_e_f_ev_per_atom": 0.0584, "volume_a3_per_cell": 368.3, "total_magnetization_mub_per_cell": 0.00, "lattice_angstrom": [[9.488, -2.834, 0.000], [9.488, 2.834, 0.000], [-2.407, 0.000, 6.846]], "species": ["Li", "Li", "Ca", "Ca", "Ca", "Ca", "Ca", "Ca", "Ca", "Ca", "Ru"], "fractional_positions": [[0.184, 0.184, 0.220], [0.816, 0.816, 0.780], [0.018, 0.018, 0.295], [0.203, 0.203, 0.789], [0.359, 0.359, 0.550], [0.412, 0.412, 0.097], [0.588, 0.588, 0.903], [0.641, 0.641, 0.450], [0.797, 0.797, 0.211], [0.982, 0.982, 0.705], [0.500, 0.500, 0.500]]}